The following is a DFT calculation (PBE-GGA) of a relaxed structure of Pr2NdSmTm4.

DOS at the Fermi energy = 10.02 states/eV per cell
symmetry = P2/m, No. 10
energy of formation from the pure elements = 0.04 eV per formula unit

abc: 6.2411 3.5975 11.5345
angles: 90.00 90.01 90.00
Last column: nearest neighbours and their distance in Å.
Positions (direct):
Pr  0.0000  0.0000  0.0000  6 Tm 3.55, 2 Pr 3.60, 4 Sm 3.60
Pr  0.5000  0.5000  0.5000  6 Tm 3.56, 2 Pr 3.60, 4 Nd 3.60
Nd  0.0000  0.0000  0.5000  6 Tm 3.56, 2 Nd 3.60, 4 Pr 3.60
Sm  0.5000  0.5000  0.0000  6 Tm 3.55, 2 Sm 3.60, 4 Pr 3.60
Tm  0.1676  0.5000  0.7505  1 Sm 3.55, 3 Pr 3.55-3.56, 2 Nd 3.56, 6 Tm 3.60
Tm  0.3325  0.0000  0.2494  3 Pr 3.55-3.56, 2 Sm 3.55, 1 Nd 3.56, 6 Tm 3.60
Tm  0.6675  0.0000  0.7506  3 Pr 3.55-3.56, 2 Sm 3.55, 1 Nd 3.56, 6 Tm 3.60
Tm  0.8324  0.5000  0.2495  1 Sm 3.55, 3 Pr 3.55-3.56, 2 Nd 3.56, 6 Tm 3.60